Entry from Alexandria: a geometry-optimized AcLa3H structure (PBE).

```
AcLa3H
1.0
5.3476 0.0000 0.0000
0.0000 5.3476 0.0000
0.0000 0.0000 5.3476
Ac La H
1 3 1
Cartesian
0.0000 0.0000 0.0000
0.0000 2.6738 2.6738
2.6738 0.0000 2.6738
2.6738 2.6738 0.0000
2.6738 2.6738 2.6738
```

V: 30.58 A^3/atom
DFT total energy: -23.153 eV/cell
Magnetization: 0.00 μB per cell
Crystal system: cubic
ρ: 7.001 g/cm³


Entry from Alexandria: a geometry-optimized Sr2Li2Mg structure (PBE).

```
Sr2Li2Mg
1.0
5.8046 -3.3623 0.0000
5.8046 3.3623 0.0000
-2.1457 0.0000 8.7520
Sr Li Mg
4 4 2
Cartesian
1.4146 0.8713 1.2953
0.3417 -0.8713 5.6713
9.1218 0.8713 3.0807
8.0490 -0.8713 7.4567
3.2466 0.8455 4.4095
4.3195 -0.8455 0.0335
5.1441 0.8455 8.7185
6.2169 -0.8455 4.3425
5.2682 1.0525 2.1880
4.1954 -1.0525 6.5640
```

V: 34.16 A^3/atom
Excess energy over the best structure of this formula in the dataset: 0 meV/atom
Formation enthalpy at 0 K: -0.019 eV per atom
Magnetization: 0.00 μB per cell
Crystal system: monoclinic
ρ: 2.075 g/cm³


Entry from Alexandria: a geometry-optimized Zr3NiW structure (PBE).

```
Zr3NiW
1.0
4.7653 0.0000 0.0000
0.0000 4.7653 0.0000
0.0000 0.0000 4.7653
Zr Ni W
3 1 1
Cartesian
0.0000 0.0000 2.3827
0.0000 2.3827 0.0000
2.3827 0.0000 0.0000
0.0000 0.0000 0.0000
2.3827 2.3827 2.3827
```

V: 21.64 A^3/atom
Excess energy over the best structure of this formula in the dataset: 0 meV/atom
Formation enthalpy at 0 K: 0.708 eV per atom
Magnetization: 0.00 μB per cell
Crystal system: cubic
ρ: 7.921 g/cm³


Entry from Alexandria: a geometry-optimized CaDyTl structure (PBE).

```
CaDyTl
1.0
5.3235 0.0000 0.0000
-2.6618 4.6103 0.0000
0.0000 0.0000 3.7711
Ca Dy Tl
1 1 1
Cartesian
0.0000 0.0000 0.0000
2.6618 1.5368 1.7411
0.0000 3.0735 2.4891
```

V: 30.85 A^3/atom
Excess energy over the best structure of this formula in the dataset: 159 meV/atom
Formation enthalpy at 0 K: -0.162 eV per atom
Magnetization: 0.00 μB per cell
Crystal system: trigonal
ρ: 7.301 g/cm³


Please write out number 4 again, unchanged.
Entry from Alexandria: a geometry-optimized CaDyTl structure (PBE).

```
CaDyTl
1.0
5.3235 0.0000 0.0000
-2.6618 4.6103 0.0000
0.0000 0.0000 3.7711
Ca Dy Tl
1 1 1
Cartesian
0.0000 0.0000 0.0000
2.6618 1.5368 1.7411
0.0000 3.0735 2.4891
```

V: 30.85 A^3/atom
Excess energy over the best structure of this formula in the dataset: 159 meV/atom
Formation enthalpy at 0 K: -0.162 eV per atom
Magnetization: 0.00 μB per cell
Crystal system: trigonal
ρ: 7.301 g/cm³